Computed, not measured: K2BaZrSe4 after structural relaxation at the PBE level of DFT.

a = 8.477 Å, b = 9.388 Å, c = 12.746 Å
α = 90.00°, β = 90.00°, γ = 90.00°
Space group Imma (No. 74)
Unique sites:
K: 0.000 0.000 0.000 x4
K: 0.250 0.250 0.250 x4
Ba: 0.000 0.000 0.500 x4
Zr: 0.250 0.250 0.750 x4
Se: 0.000 0.050 0.751 x8
Se: 0.249 0.250 0.962 x8

VASP energy in eV for the cell shown: -153.27
Formation energy (no corrections) in eV per formula unit: -11.71

Computed, not measured: KBa2Si after structural relaxation at the PBE level of DFT.

a = 8.418 Å, b = 8.418 Å, c = 8.418 Å
α = 90.00°, β = 90.00°, γ = 90.00°
Space group F-43m (No. 216)
Unique sites:
K: 0.000 0.000 0.000 x4
Ba: 0.000 0.000 0.500 x4
Ba: 0.250 0.250 0.750 x4
Si: 0.250 0.250 0.250 x4

VASP energy in eV for the cell shown: -37.65
Formation energy (no corrections) in eV per formula unit: 0.95

Computed, not measured: K2BaSi after structural relaxation at the PBE level of DFT.

a = 5.080 Å, b = 5.080 Å, c = 6.207 Å
α = 90.00°, β = 90.00°, γ = 90.00°
Space group P4/mmm (No. 123)
Unique sites:
K: 0.000 0.500 0.000 x2
Ba: 0.000 0.000 0.500 x1
Si: 0.500 0.500 0.500 x1

VASP energy in eV for the cell shown: -8.68
Formation energy (no corrections) in eV per formula unit: 0.86

Computed, not measured: K2BaSi after structural relaxation at the PBE level of DFT.

a = 3.989 Å, b = 5.516 Å, c = 18.580 Å
α = 90.00°, β = 90.00°, γ = 90.00°
Space group Immm (No. 71)
Unique sites:
K: 0.000 0.000 0.158 x4
Ba: 0.000 0.500 0.000 x2
Si: 0.000 0.500 0.500 x2

VASP energy in eV for the cell shown: -18.49
Formation energy (no corrections) in eV per formula unit: 0.30

Computed, not measured: K2BaSi after structural relaxation at the PBE level of DFT.

a = 4.2194 Å, b = 4.2194 Å, c = 39.0942 Å
α = 90.00°, β = 90.00°, γ = 120.00°
Space group R-3m (No. 166, hexagonal axes)
Unique sites:
K: 0.0000 0.0000 0.2274 x6
Ba: 0.0000 0.0000 0.0000 x3
Si: 0.0000 0.0000 0.5000 x3

VASP energy in eV for the cell shown: -22.47
Formation energy (no corrections) in eV per formula unit: 2.05

Computed, not measured: K2BaSi after structural relaxation at the PBE level of DFT.

a = 4.110 Å, b = 4.110 Å, c = 11.598 Å
α = 90.00°, β = 90.00°, γ = 90.00°
Space group P4mm (No. 99)
Unique sites:
K: 0.000 0.000 0.000 x1
K: 0.500 0.500 0.339 x1
Ba: 0.500 0.500 0.663 x1
Si: 0.000 0.000 0.514 x1

VASP energy in eV for the cell shown: -9.20
Formation energy (no corrections) in eV per formula unit: 0.34

Computed, not measured: KBa2Si after structural relaxation at the PBE level of DFT.

a = 5.0544 Å, b = 5.0544 Å, c = 32.0947 Å
α = 90.00°, β = 90.00°, γ = 120.00°
Space group R3m (No. 160, hexagonal axes)
Unique sites:
K: 0.0000 0.0000 0.0000 x3
Ba: 0.0000 0.0000 0.5446 x3
Ba: 0.0000 0.0000 0.7817 x3
Si: 0.0000 0.0000 0.1624 x3

VASP energy in eV for the cell shown: -32.15
Formation energy (no corrections) in eV per formula unit: -0.35

Computed, not measured: KBaSi3 after structural relaxation at the PBE level of DFT.

a = 5.480 Å, b = 5.480 Å, c = 5.480 Å
α = 90.00°, β = 90.00°, γ = 90.00°
Space group Pm-3m (No. 221)
Unique sites:
K: 0.000 0.000 0.000 x1
Ba: 0.500 0.500 0.500 x1
Si: 0.000 0.000 0.500 x3

VASP energy in eV for the cell shown: -13.35
Formation energy (no corrections) in eV per formula unit: 5.94

Computed, not measured: KBa2Si after structural relaxation at the PBE level of DFT.

a = 4.716 Å, b = 4.716 Å, c = 9.858 Å
α = 90.00°, β = 90.00°, γ = 90.00°
Space group P4mm (No. 99)
Unique sites:
K: 0.000 0.000 0.000 x1
Ba: 0.000 0.000 0.376 x1
Ba: 0.500 0.500 0.659 x1
Si: 0.500 0.500 0.338 x1

VASP energy in eV for the cell shown: -9.84
Formation energy (no corrections) in eV per formula unit: 0.53

Computed, not measured: KBa2Si after structural relaxation at the PBE level of DFT.

a = 4.139 Å, b = 4.139 Å, c = 11.316 Å
α = 90.00°, β = 90.00°, γ = 90.00°
Space group P4/mmm (No. 123)
Unique sites:
K: 0.000 0.000 0.000 x1
Ba: 0.500 0.500 0.343 x2
Si: 0.000 0.000 0.500 x1

VASP energy in eV for the cell shown: -10.83
Formation energy (no corrections) in eV per formula unit: -0.47

Computed, not measured: KBa2Si after structural relaxation at the PBE level of DFT.

a = 5.109 Å, b = 6.572 Å, c = 14.427 Å
α = 90.00°, β = 90.00°, γ = 90.00°
Space group Amm2 (No. 38)
Unique sites:
K: 0.000 0.000 0.000 x2
Ba: 0.000 0.000 0.286 x2
Ba: 0.500 0.000 0.664 x2
Si: 0.500 0.000 0.153 x2

VASP energy in eV for the cell shown: -20.04
Formation energy (no corrections) in eV per formula unit: 0.35

Computed, not measured: KBa2Si after structural relaxation at the PBE level of DFT.

a = 4.062 Å, b = 5.448 Å, c = 18.233 Å
α = 90.00°, β = 90.00°, γ = 90.00°
Space group Imm2 (No. 44)
Unique sites:
K: 0.000 0.000 0.000 x2
Ba: 0.000 0.000 0.684 x2
Ba: 0.000 0.500 0.846 x2
Si: 0.000 0.500 0.324 x2

VASP energy in eV for the cell shown: -20.85
Formation energy (no corrections) in eV per formula unit: -0.06

Computed, not measured: K4BaSi after structural relaxation at the PBE level of DFT.

a = 10.588 Å, b = 10.588 Å, c = 10.588 Å
α = 90.00°, β = 90.00°, γ = 90.00°
Space group F-43m (No. 216)
Unique sites:
K: 0.122 0.122 0.122 x16
Ba: 0.000 0.000 0.500 x4
Si: 0.250 0.250 0.750 x4

VASP energy in eV for the cell shown: -35.41
Formation energy (no corrections) in eV per formula unit: 2.88

Computed, not measured: K2BaSi after structural relaxation at the PBE level of DFT.

a = 5.066 Å, b = 5.066 Å, c = 26.400 Å
α = 90.00°, β = 90.00°, γ = 90.00°
Space group I-42d (No. 122)
Unique sites:
K: 0.211 0.250 0.125 x8
Ba: 0.000 0.000 0.500 x4
Si: 0.000 0.000 0.000 x4

VASP energy in eV for the cell shown: -33.63
Formation energy (no corrections) in eV per formula unit: 1.13

Computed, not measured: KBa2Si after structural relaxation at the PBE level of DFT.

a = 5.613 Å, b = 5.613 Å, c = 4.969 Å
α = 90.00°, β = 90.00°, γ = 90.00°
Space group P4/mmm (No. 123)
Unique sites:
K: 0.000 0.000 0.000 x1
Ba: 0.000 0.500 0.500 x2
Si: 0.500 0.500 0.000 x1

VASP energy in eV for the cell shown: -9.98
Formation energy (no corrections) in eV per formula unit: 0.39

Computed, not measured: K2BaSi after structural relaxation at the PBE level of DFT.

a = 5.919 Å, b = 5.926 Å, c = 8.361 Å
α = 90.00°, β = 90.00°, γ = 90.00°
Space group Imm2 (No. 44)
Unique sites:
K: 0.000 0.000 0.000 x2
K: 0.000 0.500 0.249 x2
Ba: 0.000 0.500 0.750 x2
Si: 0.000 0.000 0.499 x2

VASP energy in eV for the cell shown: -18.25
Formation energy (no corrections) in eV per formula unit: 0.41

Computed, not measured: KBa2Si after structural relaxation at the PBE level of DFT.

a = 5.279 Å, b = 5.279 Å, c = 11.047 Å
α = 90.00°, β = 90.00°, γ = 90.00°
Space group I-4m2 (No. 119)
Unique sites:
K: 0.000 0.000 0.000 x2
Ba: 0.000 0.000 0.500 x2
Ba: 0.000 0.500 0.250 x2
Si: 0.000 0.500 0.750 x2

VASP energy in eV for the cell shown: -19.47
Formation energy (no corrections) in eV per formula unit: 0.63

Computed, not measured: K2BaSi after structural relaxation at the PBE level of DFT.

a = 6.788 Å, b = 8.037 Å, c = 6.262 Å
α = 90.00°, β = 90.00°, γ = 90.00°
Space group Cmmm (No. 65)
Unique sites:
K: 0.000 0.202 0.000 x4
Ba: 0.000 0.500 0.500 x2
Si: 0.000 0.000 0.500 x2

VASP energy in eV for the cell shown: -17.08
Formation energy (no corrections) in eV per formula unit: 1.00

Computed, not measured: KBa2Si after structural relaxation at the PBE level of DFT.

a = 10.346 Å, b = 10.346 Å, c = 7.796 Å
α = 90.00°, β = 90.00°, γ = 90.00°
Space group I-42d (No. 122)
Unique sites:
K: 0.000 0.000 0.000 x4
Ba: 0.158 0.250 0.625 x8
Si: 0.000 0.000 0.500 x4

VASP energy in eV for the cell shown: -40.05
Formation energy (no corrections) in eV per formula unit: 0.35

Computed, not measured: KBa4Si4 after structural relaxation at the PBE level of DFT.

a = 10.339 Å, b = 10.339 Å, c = 6.595 Å
α = 90.00°, β = 90.00°, γ = 90.00°
Space group P4_2/n (No. 86, origin choice 2)
Unique sites:
K: 0.250 0.250 0.250 x2
Ba: 0.068 0.660 0.102 x8
Si: 0.018 0.589 0.603 x8

VASP energy in eV for the cell shown: -63.82
Formation energy (no corrections) in eV per formula unit: -1.43

Computed, not measured: KBaSi3 after structural relaxation at the PBE level of DFT.

a = 5.856 Å, b = 5.856 Å, c = 5.856 Å
α = 90.00°, β = 90.00°, γ = 90.00°
Space group Pm-3m (No. 221)
Unique sites:
K: 0.000 0.000 0.000 x1
Ba: 0.500 0.500 0.500 x1
Si: 0.000 0.500 0.500 x3

VASP energy in eV for the cell shown: -13.00
Formation energy (no corrections) in eV per formula unit: 6.29

Computed, not measured: K2BaSi after structural relaxation at the PBE level of DFT.

a = 5.165 Å, b = 5.165 Å, c = 11.754 Å
α = 90.00°, β = 90.00°, γ = 90.00°
Space group I4/mmm (No. 139)
Unique sites:
K: 0.000 0.500 0.250 x4
Ba: 0.000 0.000 0.000 x2
Si: 0.000 0.000 0.500 x2

VASP energy in eV for the cell shown: -17.35
Formation energy (no corrections) in eV per formula unit: 0.87

Computed, not measured: K2BaSi after structural relaxation at the PBE level of DFT.

a = 4.752 Å, b = 4.752 Å, c = 7.666 Å
α = 90.00°, β = 90.00°, γ = 90.00°
Space group P4/mmm (No. 123)
Unique sites:
K: 0.000 0.000 0.198 x2
Ba: 0.500 0.500 0.500 x1
Si: 0.500 0.500 0.000 x1

VASP energy in eV for the cell shown: -7.95
Formation energy (no corrections) in eV per formula unit: 1.59

Computed, not measured: KBa2Si after structural relaxation at the PBE level of DFT.

a = 8.687 Å, b = 4.990 Å, c = 11.430 Å
α = 90.00°, β = 104.01°, γ = 90.00°
Space group C2/m (No. 12)
Unique sites:
K: 0.000 0.000 0.000 x2
Ba: 0.213 0.000 0.643 x4
Si: 0.000 0.500 0.500 x2

VASP energy in eV for the cell shown: -21.37
Formation energy (no corrections) in eV per formula unit: -0.32

Computed, not measured: KBa2SrSi after structural relaxation at the PBE level of DFT.

a = 6.645 Å, b = 6.645 Å, c = 6.284 Å
α = 90.00°, β = 90.00°, γ = 90.00°
Space group P4/mmm (No. 123)
Unique sites:
K: 0.000 0.000 0.000 x1
Ba: 0.000 0.500 0.500 x2
Sr: 0.500 0.500 0.000 x1
Si: 0.500 0.500 0.500 x1

VASP energy in eV for the cell shown: -12.40
Formation energy (no corrections) in eV per formula unit: -0.36

Computed, not measured: K2BaSiTe4 after structural relaxation at the PBE level of DFT.

a = 8.121 Å, b = 10.914 Å, c = 13.446 Å
α = 90.00°, β = 90.00°, γ = 90.00°
Space group Imma (No. 74)
Unique sites:
K: 0.000 0.000 0.000 x4
K: 0.250 0.250 0.250 x4
Ba: 0.000 0.000 0.500 x4
Si: 0.250 0.250 0.750 x4
Te: 0.000 0.070 0.752 x8
Te: 0.247 0.250 0.977 x8

VASP energy in eV for the cell shown: -109.32
Formation energy (no corrections) in eV per formula unit: -5.22

Computed, not measured: K2BaTiSi after structural relaxation at the PBE level of DFT.

a = 6.317 Å, b = 6.317 Å, c = 5.094 Å
α = 90.00°, β = 90.00°, γ = 90.00°
Space group P4/mmm (No. 123)
Unique sites:
K: 0.000 0.500 0.000 x2
Ba: 0.000 0.000 0.500 x1
Ti: 0.500 0.500 0.000 x1
Si: 0.500 0.500 0.500 x1

VASP energy in eV for the cell shown: -14.38
Formation energy (no corrections) in eV per formula unit: 3.06